The following is a PBE-GGA calculation of crystalline PaNb2AgO8 at its relaxed geometry, from the Alexandria database.

a = 5.3968 Å, b = 5.3968 Å, c = 24.7173 Å
α = 90.00°, β = 90.00°, γ = 120.00°
Space group R32 (No. 155, hexagonal axes)
Unique sites:
Pa (0.0000, 0.0000, 0.0000)
Nb (0.0000, 0.0000, 0.2476)
Ag (0.0000, 0.0000, 0.5000)
O (0.0000, 0.0000, 0.1746)
O (0.0090, 0.3679, 0.6100)

Results
Spin magnetization (μB per formula unit): 0.0
Formation energy (no corrections) (eV per atom): -2.308
Crystal system: trigonal
Fermi-level density of states (states/eV per atom): 0.000

***

The following is a PBE-GGA calculation of crystalline Ba2HfTePt at its relaxed geometry, from the Alexandria database.

a = 6.3203 Å, b = 6.3203 Å, c = 5.2577 Å
α = 90.00°, β = 90.00°, γ = 90.00°
Space group P4/mmm (No. 123)
Unique sites:
Ba (0.0000, 0.5000, 0.0000)
Hf (0.0000, 0.0000, 0.0000)
Te (0.0000, 0.0000, 0.5000)
Pt (0.5000, 0.5000, 0.5000)

Results
Spin magnetization (μB per formula unit): 0.0
Formation energy (no corrections) (eV per atom): 0.409
Crystal system: tetragonal
Fermi-level density of states (states/eV per atom): 1.137

***

The following is a PBE-GGA calculation of crystalline CaCdNi at its relaxed geometry, from the Alexandria database.

a = 3.4526 Å, b = 3.4526 Å, c = 10.5620 Å
α = 90.00°, β = 90.00°, γ = 90.00°
Space group I4mm (No. 107)
Unique sites:
Ca (0.0000, 0.0000, 0.0000)
Cd (0.0000, 0.0000, 0.7119)
Ni (0.0000, 0.0000, 0.3275)

Results
Formation energy from the elements (eV/atom): -0.07
Spin magnetization (μB per formula unit): 0.0
Crystal system: tetragonal
Fermi-level density of states (states/eV per atom): 0.729

***

The following is a PBE-GGA calculation of crystalline Mg9Ni4Sn11 at its relaxed geometry, from the Alexandria database.

a = 13.2914 Å, b = 19.2788 Å, c = 4.0268 Å
α = 90.00°, β = 90.00°, γ = 90.00°
Space group Cmmm (No. 65)
Unique sites:
Mg (0.0000, 0.0000, 0.0000)
Mg (0.1147, 0.2338, 0.0000)
Mg (0.1351, 0.4202, 0.0000)
Ni (0.1592, 0.0951, 0.0000)
Sn (0.0000, 0.1230, 0.5000)
Sn (0.0000, 0.3278, 0.5000)
Sn (0.0000, 0.5000, 0.5000)
Sn (0.1874, 0.0000, 0.5000)
Sn (0.2490, 0.1652, 0.5000)

Results
Formation energy from the elements (eV/atom): -0.12
Spin magnetization (μB per formula unit): 0.0
Crystal system: orthorhombic
Fermi-level density of states (states/eV per atom): 0.439

***

The following is a PBE-GGA calculation of crystalline Fe4GeIr at its relaxed geometry, from the Alexandria database.

a = 4.9814 Å, b = 7.0579 Å, c = 4.9650 Å
α = 90.00°, β = 90.00°, γ = 90.00°
Space group Cmmm (No. 65)
Unique sites:
Fe (0.2500, 0.2500, 0.2455)
Ge (0.0000, 0.0000, 0.0000)
Ir (0.0000, 0.5000, 0.5000)

Results
Formation energy from the elements (eV/atom): 0.42
Spin magnetization (μB per formula unit): 8.9
Crystal system: orthorhombic
Fermi-level density of states (states/eV per atom): 0.994

***

The following is a PBE-GGA calculation of crystalline LiZn2Au at its relaxed geometry, from the Alexandria database.

a = 2.8354 Å, b = 4.0228 Å, c = 5.4145 Å
α = 90.00°, β = 90.00°, γ = 90.00°
Space group Pmmm (No. 47)
Unique sites:
Li (0.0000, 0.0000, 0.0000)
Zn (0.5000, 0.5000, 0.2440)
Au (0.0000, 0.0000, 0.5000)

Results
Formation energy from the elements (eV/atom): -0.27
E above lowest polymorph (kcal/mol of atoms): 2.12
Spin magnetization (μB per formula unit): 0.0
Crystal system: orthorhombic
Fermi-level density of states (states/eV per atom): 0.234

***

The following is a PBE-GGA calculation of crystalline HfBe3Nb at its relaxed geometry, from the Alexandria database.

a = 4.2831 Å, b = 4.2831 Å, c = 4.2831 Å
α = 90.00°, β = 90.00°, γ = 90.00°
Space group Pm-3m (No. 221)
Unique sites:
Hf (0.0000, 0.0000, 0.0000)
Be (0.0000, 0.5000, 0.5000)
Nb (0.5000, 0.5000, 0.5000)

Results
Formation energy from the elements (eV/atom): 0.97
E above lowest polymorph (kcal/mol of atoms): 25.58
Spin magnetization (μB per formula unit): 0.0
Crystal system: cubic
Fermi-level density of states (states/eV per atom): 1.055

***

The following is a PBE-GGA calculation of crystalline Na2NdDyTe4 at its relaxed geometry, from the Alexandria database.

a = 7.7737 Å, b = 4.4882 Å, c = 8.0078 Å
α = 90.00°, β = 108.91°, γ = 90.00°
Space group P2/m (No. 10)
Unique sites:
Na (0.0000, 0.0000, 0.0000)
Na (0.5000, 0.5000, 0.0000)
Nd (0.0000, 0.5000, 0.5000)
Dy (0.5000, 0.0000, 0.5000)
Te (0.2527, 0.0000, 0.7372)
Te (0.2620, 0.5000, 0.2664)

Results
Spin magnetization (μB per formula unit): 0.0
Formation energy (no corrections) (eV per atom): -1.320
Crystal system: monoclinic